[1]
# Sb2PCl

A geometry-optimized Sb2PCl structure (PBE-GGA, Alexandria via LeMat-Bulk).

Structure (extended XYZ):
```
4
Lattice="3.828 0.000 0.000 0.000 3.828 0.000 0.000 0.000 8.149" Properties=species:S:1:pos:R:3 pbc="T T T"
Cl 0.000 0.000 4.550
P 1.914 1.914 7.236
Sb 0.000 0.000 6.976
Sb 1.914 1.914 1.609
```

V, Å³/atom: 29.9
Relative energy among the computed polymorphs, meV/atom: 45
Formation energy (no corrections), eV per atom: -0.04

---

[2]
# SbP3Cl

A geometry-optimized SbP3Cl structure (PBE-GGA, Alexandria via LeMat-Bulk).

Structure (extended XYZ):
```
5
Lattice="-1.420 -0.578 -4.412 4.166 -1.797 -1.106 -1.561 -4.272 1.062" Properties=species:S:1:pos:R:3 pbc="T T T"
Sb 0.593 -3.324 -2.228
P 2.083 -0.899 -0.553
P -0.780 -2.136 0.531
P -0.710 -0.289 -2.206
Cl 0.000 0.000 0.000
```

V, Å³/atom: 20.4
Relative energy among the computed polymorphs, meV/atom: 0
Formation energy (no corrections), eV per atom: 1.21

---

[3]
# Sb2PCl

A geometry-optimized Sb2PCl structure (PBE-GGA, Alexandria via LeMat-Bulk).

Structure (extended XYZ):
```
4
Lattice="4.518 0.005 0.009 3.032 3.350 0.009 1.312 0.583 6.652" Properties=species:S:1:pos:R:3 pbc="T T T"
Cl 6.646 2.953 5.002
P 2.215 0.984 1.667
Sb 7.505 3.335 0.383
Sb 4.475 1.988 2.970
```

V, Å³/atom: 25.1
Relative energy among the computed polymorphs, meV/atom: 91
Formation energy (no corrections), eV per atom: 0.00

---

[4]
# SbPCl4

A geometry-optimized SbPCl4 structure (PBE-GGA, Alexandria via LeMat-Bulk).

Structure (extended XYZ):
```
6
Lattice="-2.454 -4.649 -2.385 -5.379 0.317 -2.071 -0.915 -0.179 -5.697" Properties=species:S:1:pos:R:3 pbc="T T T"
Sb 0.000 0.000 0.000
P -6.561 -3.383 -7.614
Cl -4.507 -4.016 -4.999
Cl -3.738 -1.781 -6.655
Cl -5.970 -1.533 -4.842
Cl -3.280 -1.692 -3.807
```

V, Å³/atom: 22.7
Formation energy (no corrections), eV per atom: 0.90

---

[5]
# SbPCl2

A geometry-optimized SbPCl2 structure (PBE-GGA, Alexandria via LeMat-Bulk).

Structure (extended XYZ):
```
4
Lattice="-0.727 0.853 -3.625 3.076 -1.946 -1.074 -3.370 -5.046 -0.511" Properties=species:S:1:pos:R:3 pbc="T T T"
Cl -3.365 -5.038 -0.510
Cl -1.690 -2.530 -0.256
P 0.332 -1.808 -2.478
Sb -1.353 -4.331 -2.733
```

V, Å³/atom: 21.9
Relative energy among the computed polymorphs, meV/atom: 930
Formation energy (no corrections), eV per atom: 0.54

---

[6]
# SbP3Cl

A geometry-optimized SbP3Cl structure (PBE-GGA, Alexandria via LeMat-Bulk).

Structure (extended XYZ):
```
5
Lattice="-0.183 -4.187 -2.921 3.162 -2.388 3.225 -4.009 -1.693 2.677" Properties=species:S:1:pos:R:3 pbc="T T T"
Sb 0.000 0.000 0.000
P 1.581 -1.194 1.613
P -2.004 -0.846 1.339
P -0.091 -2.094 -1.461
Cl -0.515 -4.134 1.490
```

V, Å³/atom: 26.7
Relative energy among the computed polymorphs, meV/atom: 69
Formation energy (no corrections), eV per atom: 1.28

---

[7]
# SbPCl3

A geometry-optimized SbPCl3 structure (PBE-GGA, Alexandria via LeMat-Bulk).

Structure (extended XYZ):
```
5
Lattice="-4.501 1.629 -1.152 -0.025 -2.889 -3.987 -1.995 -3.639 2.649" Properties=species:S:1:pos:R:3 pbc="T T T"
Sb -3.261 -2.449 -1.245
P 0.000 0.000 0.000
Cl -0.013 -1.444 -1.993
Cl -0.998 -1.819 1.325
Cl -2.250 0.815 -0.576
```

V, Å³/atom: 23.9
Formation energy (no corrections), eV per atom: 0.26

---

[8]
# SbPCl2

A geometry-optimized SbPCl2 structure (PBE-GGA, Alexandria via LeMat-Bulk).

Structure (extended XYZ):
```
4
Lattice="-1.158 1.622 -2.399 -3.831 -2.296 0.297 -2.182 4.139 3.851" Properties=species:S:1:pos:R:3 pbc="T T T"
Cl -2.181 4.138 3.850
Cl -1.092 2.071 1.927
P -3.040 0.698 -0.088
Sb -4.131 2.768 1.837
```

V, Å³/atom: 21.2
Relative energy among the computed polymorphs, meV/atom: 830
Formation energy (no corrections), eV per atom: 0.44

---

[9]
# Sb2PCl

A geometry-optimized Sb2PCl structure (PBE-GGA, Alexandria via LeMat-Bulk).

Structure (extended XYZ):
```
4
Lattice="2.524 -4.130 1.211 -0.228 -1.789 4.652 -2.456 -4.244 0.923" Properties=species:S:1:pos:R:3 pbc="T T T"
Sb -0.040 -2.541 1.697
Sb -0.119 -7.622 5.090
P 0.000 0.000 0.000
Cl -0.080 -5.082 3.394
```

V, Å³/atom: 22.0
Relative energy among the computed polymorphs, meV/atom: 317
Formation energy (no corrections), eV per atom: 0.23

---

[10]
# Sb2PCl

A geometry-optimized Sb2PCl structure (PBE-GGA, Alexandria via LeMat-Bulk).

Structure (extended XYZ):
```
8
Lattice="-5.047 5.708 1.465 -4.663 -2.689 -5.588 -6.428 -0.462 0.199" Properties=species:S:1:pos:R:3 pbc="T T T"
Sb -5.140 2.885 0.208
Sb -5.357 -0.851 -3.200
Sb -8.651 0.677 -1.623
Sb -13.129 2.405 -3.232
P -4.855 1.510 -2.062
P -7.973 -0.820 -3.725
Cl 0.000 0.000 0.000
Cl -8.165 3.378 -0.198
```

V, Å³/atom: 25.5
Relative energy among the computed polymorphs, meV/atom: 130
Formation energy (no corrections), eV per atom: 0.04

---

[11]
# SbPCl

A geometry-optimized SbPCl structure (PBE-GGA, Alexandria via LeMat-Bulk).

Structure (extended XYZ):
```
3
Lattice="-5.993 -1.641 -3.868 -2.708 -5.673 -3.750 3.196 2.780 5.969" Properties=species:S:1:pos:R:3 pbc="T T T"
Cl -8.412 -7.071 -7.365
P -2.085 -1.753 -1.826
Sb -6.905 -5.804 -6.046
```

V, Å³/atom: 30.9
Relative energy among the computed polymorphs, meV/atom: 73
Formation energy (no corrections), eV per atom: -0.05

---

[12]
# SbPCl2

A geometry-optimized SbPCl2 structure (PBE-GGA, Alexandria via LeMat-Bulk).

Structure (extended XYZ):
```
4
Lattice="1.901 0.000 9.630 -0.951 1.646 9.630 -0.951 -1.646 9.630" Properties=species:S:1:pos:R:3 pbc="T T T"
Sb 0.000 0.000 0.000
P 0.000 0.000 14.445
Cl 0.000 0.000 26.254
Cl 0.000 0.000 2.637
```

V, Å³/atom: 22.6
Relative energy among the computed polymorphs, meV/atom: 676
Formation energy (no corrections), eV per atom: 0.29